# AlPd GGA-PBE relaxed
# Total magnetic moment, Bohr magnetons per cell: 0.0
data_AlPd
_cell_length_a 4.905
_cell_length_b 4.905
_cell_length_c 4.905
_cell_angle_alpha 90.00
_cell_angle_beta 90.00
_cell_angle_gamma 90.00
_symmetry_space_group_name_H-M 'P 1'
_symmetry_Int_Tables_number 1
loop_
_symmetry_equiv_pos_as_xyz
'x,y,z'
loop_
_atom_site_label
_atom_site_fract_x
_atom_site_fract_y
_atom_site_fract_z
Al1 0.156 0.344 0.656
Al2 0.344 0.656 0.156
Al3 0.656 0.156 0.344
Al4 0.844 0.844 0.844
Pd1 0.147 0.147 0.147
Pd2 0.353 0.853 0.647
Pd3 0.647 0.353 0.853
Pd4 0.853 0.647 0.353

---

# AlPd GGA-PBE relaxed
# Total magnetic moment, Bohr magnetons per cell: 0.0
data_AlPd
_cell_length_a 6.853
_cell_length_b 6.853
_cell_length_c 6.853
_cell_angle_alpha 90.00
_cell_angle_beta 90.00
_cell_angle_gamma 90.00
_symmetry_space_group_name_H-M 'P 1'
_symmetry_Int_Tables_number 1
loop_
_symmetry_equiv_pos_as_xyz
'x,y,z'
loop_
_atom_site_label
_atom_site_fract_x
_atom_site_fract_y
_atom_site_fract_z
Al1 0.000 0.250 0.500
Al2 0.000 0.750 0.500
Al3 0.250 0.500 0.000
Al4 0.500 0.000 0.250
Al5 0.500 0.000 0.750
Al6 0.750 0.500 0.000
Pd1 0.000 0.500 0.250
Pd2 0.000 0.500 0.750
Pd3 0.250 0.000 0.500
Pd4 0.500 0.250 0.000
Pd5 0.500 0.750 0.000
Pd6 0.750 0.000 0.500

---

# Al3Pd8 GGA-PBE relaxed
# Total magnetic moment, Bohr magnetons per cell: 0.0
data_Al3Pd8
_cell_length_a 5.652
_cell_length_b 5.652
_cell_length_c 5.652
_cell_angle_alpha 88.25
_cell_angle_beta 88.25
_cell_angle_gamma 88.25
_symmetry_space_group_name_H-M 'P 1'
_symmetry_Int_Tables_number 1
loop_
_symmetry_equiv_pos_as_xyz
'x,y,z'
loop_
_atom_site_label
_atom_site_fract_x
_atom_site_fract_y
_atom_site_fract_z
Al1 0.000 0.500 0.500
Al2 0.500 0.000 0.500
Al3 0.500 0.500 0.000
Pd1 0.118 0.688 0.855
Pd2 0.145 0.882 0.312
Pd3 0.312 0.145 0.882
Pd4 0.370 0.370 0.370
Pd5 0.630 0.630 0.630
Pd6 0.688 0.855 0.118
Pd7 0.855 0.118 0.688
Pd8 0.882 0.312 0.145

---

# AlPd4 GGA-PBE relaxed
# Total magnetic moment, Bohr magnetons per cell: 0.0
data_AlPd4
_cell_length_a 4.514
_cell_length_b 4.514
_cell_length_c 4.514
_cell_angle_alpha 90.00
_cell_angle_beta 90.00
_cell_angle_gamma 90.00
_symmetry_space_group_name_H-M 'P 1'
_symmetry_Int_Tables_number 1
loop_
_symmetry_equiv_pos_as_xyz
'x,y,z'
loop_
_atom_site_label
_atom_site_fract_x
_atom_site_fract_y
_atom_site_fract_z
Al1 0.000 0.000 0.000
Pd1 0.000 0.000 0.500
Pd2 0.000 0.500 0.000
Pd3 0.500 0.000 0.000
Pd4 0.500 0.500 0.500

---

# AlPd6 GGA-PBE relaxed
# Total magnetic moment, Bohr magnetons per cell: 0.0
data_AlPd6
_cell_length_a 6.806
_cell_length_b 6.806
_cell_length_c 6.806
_cell_angle_alpha 37.94
_cell_angle_beta 37.94
_cell_angle_gamma 37.94
_symmetry_space_group_name_H-M 'P 1'
_symmetry_Int_Tables_number 1
loop_
_symmetry_equiv_pos_as_xyz
'x,y,z'
loop_
_atom_site_label
_atom_site_fract_x
_atom_site_fract_y
_atom_site_fract_z
Al1 0.000 0.000 0.000
Pd1 0.138 0.138 0.138
Pd2 0.289 0.289 0.289
Pd3 0.430 0.430 0.430
Pd4 0.570 0.570 0.570
Pd5 0.711 0.711 0.711
Pd6 0.862 0.862 0.862

---

# AlPd GGA-PBE relaxed
# Total magnetic moment, Bohr magnetons per cell: 0.0
data_AlPd
_cell_length_a 4.316
_cell_length_b 4.316
_cell_length_c 4.970
_cell_angle_alpha 90.00
_cell_angle_beta 90.00
_cell_angle_gamma 120.00
_symmetry_space_group_name_H-M 'P 1'
_symmetry_Int_Tables_number 1
loop_
_symmetry_equiv_pos_as_xyz
'x,y,z'
loop_
_atom_site_label
_atom_site_fract_x
_atom_site_fract_y
_atom_site_fract_z
Al1 0.333 0.667 0.250
Al2 0.667 0.333 0.750
Pd1 0.333 0.667 0.750
Pd2 0.667 0.333 0.250

---

# AlPd4 GGA-PBE relaxed
# Total magnetic moment, Bohr magnetons per cell: 0.0
data_AlPd4
_cell_length_a 5.313
_cell_length_b 7.856
_cell_length_c 4.133
_cell_angle_alpha 90.00
_cell_angle_beta 112.75
_cell_angle_gamma 90.00
_symmetry_space_group_name_H-M 'P 1'
_symmetry_Int_Tables_number 1
loop_
_symmetry_equiv_pos_as_xyz
'x,y,z'
loop_
_atom_site_label
_atom_site_fract_x
_atom_site_fract_y
_atom_site_fract_z
Al1 0.000 0.130 0.250
Al2 0.000 0.870 0.750
Pd1 0.285 0.388 0.394
Pd2 0.285 0.612 0.894
Pd3 0.300 0.137 0.900
Pd4 0.300 0.863 0.400
Pd5 0.700 0.137 0.600
Pd6 0.700 0.863 0.100
Pd7 0.715 0.388 0.106
Pd8 0.715 0.612 0.606

---

# AlPd GGA-PBE relaxed
# Total magnetic moment, Bohr magnetons per cell: 0.0
data_AlPd
_cell_length_a 9.278
_cell_length_b 9.278
_cell_length_c 9.278
_cell_angle_alpha 116.44
_cell_angle_beta 116.44
_cell_angle_gamma 116.44
_symmetry_space_group_name_H-M 'P 1'
_symmetry_Int_Tables_number 1
loop_
_symmetry_equiv_pos_as_xyz
'x,y,z'
loop_
_atom_site_label
_atom_site_fract_x
_atom_site_fract_y
_atom_site_fract_z
Al1 0.000 0.000 0.000
Al2 0.097 0.252 0.653
Al3 0.154 0.403 0.444
Al4 0.252 0.653 0.097
Al5 0.347 0.903 0.748
Al6 0.403 0.444 0.154
Al7 0.444 0.154 0.403
Al8 0.556 0.846 0.597
Al9 0.597 0.556 0.846
Al10 0.653 0.097 0.252
Al11 0.748 0.347 0.903
Al12 0.846 0.597 0.556
Al13 0.903 0.748 0.347
Pd1 0.054 0.343 0.096
Pd2 0.096 0.054 0.343
Pd3 0.155 0.598 0.751
Pd4 0.249 0.845 0.402
Pd5 0.343 0.096 0.054
Pd6 0.402 0.249 0.845
Pd7 0.500 0.500 0.500
Pd8 0.598 0.751 0.155
Pd9 0.657 0.904 0.946
Pd10 0.751 0.155 0.598
Pd11 0.845 0.402 0.249
Pd12 0.904 0.946 0.657
Pd13 0.946 0.657 0.904

---

# AlPd GGA-PBE relaxed
# Total magnetic moment, Bohr magnetons per cell: 0.0
data_AlPd
_cell_length_a 6.591
_cell_length_b 6.591
_cell_length_c 6.591
_cell_angle_alpha 109.47
_cell_angle_beta 109.47
_cell_angle_gamma 109.47
_symmetry_space_group_name_H-M 'P 1'
_symmetry_Int_Tables_number 1
loop_
_symmetry_equiv_pos_as_xyz
'x,y,z'
loop_
_atom_site_label
_atom_site_fract_x
_atom_site_fract_y
_atom_site_fract_z
Al1 0.000 0.000 0.624
Al2 0.000 0.624 0.000
Al3 0.376 0.376 0.376
Al4 0.624 0.000 0.000
Pd1 0.000 0.000 0.264
Pd2 0.000 0.264 0.000
Pd3 0.264 0.000 0.000
Pd4 0.736 0.736 0.736

---

# Al21Pd8 GGA-PBE relaxed
# Total magnetic moment, Bohr magnetons per cell: 0.0
data_Al21Pd8
_cell_length_a 10.697
_cell_length_b 10.697
_cell_length_c 10.697
_cell_angle_alpha 104.68
_cell_angle_beta 104.68
_cell_angle_gamma 119.55
_symmetry_space_group_name_H-M 'P 1'
_symmetry_Int_Tables_number 1
loop_
_symmetry_equiv_pos_as_xyz
'x,y,z'
loop_
_atom_site_label
_atom_site_fract_x
_atom_site_fract_y
_atom_site_fract_z
Al1 0.013 0.424 0.085
Al2 0.065 0.779 0.393
Al3 0.076 0.661 0.589
Al4 0.076 0.992 0.271
Al5 0.114 0.328 0.893
Al6 0.140 0.318 0.257
Al7 0.161 0.071 0.585
Al8 0.172 0.565 0.786
Al9 0.177 0.154 0.041
Al10 0.182 0.939 0.822
Al11 0.221 0.805 0.229
Al12 0.279 0.386 0.714
Al13 0.305 0.576 0.584
Al14 0.346 0.887 0.023
Al15 0.364 0.323 0.477
Al16 0.375 0.125 0.250
Al17 0.383 0.640 0.322
Al18 0.387 0.864 0.541
Al19 0.429 0.513 0.089
Al20 0.439 0.117 0.757
Al21 0.492 0.721 0.916
Al22 0.508 0.279 0.084
Al23 0.561 0.883 0.243
Al24 0.571 0.487 0.911
Al25 0.613 0.136 0.459
Al26 0.617 0.360 0.678
Al27 0.625 0.875 0.750
Al28 0.636 0.677 0.523
Al29 0.654 0.113 0.977
Al30 0.695 0.424 0.416
Al31 0.721 0.614 0.286
Al32 0.779 0.195 0.771
Al33 0.818 0.061 0.178
Al34 0.823 0.846 0.959
Al35 0.828 0.435 0.214
Al36 0.839 0.929 0.415
Al37 0.860 0.682 0.743
Al38 0.886 0.672 0.107
Al39 0.924 0.008 0.729
Al40 0.924 0.339 0.411
Al41 0.935 0.221 0.607
Al42 0.987 0.576 0.915
Pd1 0.068 0.204 0.436
Pd2 0.089 0.877 0.027
Pd3 0.132 0.568 0.364
Pd4 0.268 0.632 0.064
Pd5 0.296 0.232 0.864
Pd6 0.350 0.063 0.473
Pd7 0.377 0.850 0.787
Pd8 0.437 0.411 0.287
Pd9 0.563 0.589 0.713
Pd10 0.623 0.150 0.213
Pd11 0.650 0.937 0.527
Pd12 0.704 0.768 0.136
Pd13 0.732 0.368 0.936
Pd14 0.868 0.432 0.636
Pd15 0.911 0.123 0.973
Pd16 0.932 0.796 0.564

---

# Al3Pd4 GGA-PBE relaxed
# Total magnetic moment, Bohr magnetons per cell: 0.0
data_Al3Pd4
_cell_length_a 7.352
_cell_length_b 7.352
_cell_length_c 7.352
_cell_angle_alpha 33.73
_cell_angle_beta 33.73
_cell_angle_gamma 33.73
_symmetry_space_group_name_H-M 'P 1'
_symmetry_Int_Tables_number 1
loop_
_symmetry_equiv_pos_as_xyz
'x,y,z'
loop_
_atom_site_label
_atom_site_fract_x
_atom_site_fract_y
_atom_site_fract_z
Al1 0.000 0.000 0.000
Al2 0.247 0.247 0.247
Al3 0.753 0.753 0.753
Pd1 0.125 0.125 0.125
Pd2 0.376 0.376 0.376
Pd3 0.624 0.624 0.624
Pd4 0.875 0.875 0.875

---

# AlPd GGA-PBE relaxed
# Total magnetic moment, Bohr magnetons per cell: 0.0
data_AlPd
_cell_length_a 3.625
_cell_length_b 3.625
_cell_length_c 3.625
_cell_angle_alpha 60.00
_cell_angle_beta 60.00
_cell_angle_gamma 60.00
_symmetry_space_group_name_H-M 'P 1'
_symmetry_Int_Tables_number 1
loop_
_symmetry_equiv_pos_as_xyz
'x,y,z'
loop_
_atom_site_label
_atom_site_fract_x
_atom_site_fract_y
_atom_site_fract_z
Al1 0.000 0.000 0.000
Pd1 0.500 0.500 0.500

---

Number 1: energy of formation -909 meV/atom, E -5.38 eV per atom, density of states at the Fermi level 0.6 states/eV/f.u.. Number 2: energy of formation -6 meV/atom, E -4.47 eV per atom, density of states at the Fermi level 0.8 states/eV/f.u.. Number 3: energy of formation -323 meV/atom, E -5.12 eV per atom, density of states at the Fermi level 5.0 states/eV/f.u.. Number 4: energy of formation 271 meV/atom, E -4.63 eV per atom, density of states at the Fermi level 4.5 states/eV/f.u.. Number 5: energy of formation -309 meV/atom, E -5.29 eV per atom, density of states at the Fermi level 8.5 states/eV/f.u.. Number 6: energy of formation -342 meV/atom, E -4.81 eV per atom, density of states at the Fermi level 0.8 states/eV/f.u.. Number 7: energy of formation -378 meV/atom, E -5.28 eV per atom, density of states at the Fermi level 3.5 states/eV/f.u.. Number 8: energy of formation -904 meV/atom, E -5.37 eV per atom, density of states at the Fermi level 0.4 states/eV/f.u.. Number 9: energy of formation -56 meV/atom, E -4.52 eV per atom, density of states at the Fermi level 1.0 states/eV/f.u.. Number 10: energy of formation -549 meV/atom, E -4.69 eV per atom, density of states at the Fermi level 7.9 states/eV/f.u.. Number 11: energy of formation -764 meV/atom, E -5.34 eV per atom, density of states at the Fermi level 4.7 states/eV/f.u.. Number 12: energy of formation -430 meV/atom, E -4.90 eV per atom, density of states at the Fermi level 0.4 states/eV/f.u..